This record from Alexandria via LeMat-Bulk describes CaPtBr2 after structural relaxation. The functional is GGA-PBE.

a b c (Å): 7.692 7.692 7.692
angles (deg): 35.41 35.41 35.41
Atoms (fractional coordinates):
Ca1 0.000 0.000 0.000
Pt1 0.500 0.500 0.500
Br1 0.391 0.391 0.391
Br2 0.609 0.609 0.609

Summary:
SG: R-3m
DFT total energy, eV/cell: -14.31
E above lowest polymorph, meV/atom: 358.0
Raw formation energy, eV per atom: -0.73
Density of states at the Fermi level, states/eV/atom: 0.00